[1]
# CdInCo2 | Alexandria | PBEsol | optimized geometry
# Magnetic moment (μB per atom): 0.6224
# DFT total energy (eV per atom): -4.576
# E_form (eV/atom): 0.34
data_CdInCo2
_chemical_formula_sum 'Cd2 In2 Co4'
_space_group_name_H-M_alt 'I -4 m 2'
_space_group_IT_number 119
_space_group_name_Hall 'I -4 -2'
_cell_length_a 3.8397
_cell_length_b 3.8397
_cell_length_c 8.0471
_cell_angle_alpha 90.00
_cell_angle_beta 90.00
_cell_angle_gamma 90.00
loop_
_atom_site_label
_atom_site_type_symbol
_atom_site_fract_x
_atom_site_fract_y
_atom_site_fract_z
Cd1 Cd 0.0000 0.0000 0.0000
In1 In 0.0000 0.5000 0.7500
Co1 Co 0.0000 0.0000 0.5000
Co2 Co 0.0000 0.5000 0.2500



[2]
# Cd2InCo | Alexandria | PBEsol | optimized geometry
# Magnetic moment (μB per atom): 0.0885
# DFT total energy (eV per atom): -3.054
# E_form (eV/atom): 0.22
data_Cd2InCo
_chemical_formula_sum 'Cd4 In2 Co2'
_space_group_name_H-M_alt 'I -4 m 2'
_space_group_IT_number 119
_space_group_name_Hall 'I -4 -2'
_cell_length_a 4.0742
_cell_length_b 4.0742
_cell_length_c 8.3477
_cell_angle_alpha 90.00
_cell_angle_beta 90.00
_cell_angle_gamma 90.00
loop_
_atom_site_label
_atom_site_type_symbol
_atom_site_fract_x
_atom_site_fract_y
_atom_site_fract_z
Cd1 Cd 0.0000 0.0000 0.0000
Cd2 Cd 0.0000 0.5000 0.2500
In1 In 0.0000 0.5000 0.7500
Co1 Co 0.0000 0.0000 0.5000